(1)
First-principles (PBE) data for an optimized crystal structure of TbNdDyHo3, as listed in Alexandria via LeMat-Bulk.

The structure in POSCAR format:
```
TbNdDyHo3
1.0
2.902 -5.741 0.000
2.902 5.741 0.000
0.000 0.000 11.547
Tb Nd Dy Ho
2 2 2 6
direct
0.171 0.829 0.750
0.829 0.171 0.250
0.475 0.525 0.750
0.525 0.475 0.250
0.000 0.000 0.000
0.000 0.000 0.500
0.148 0.852 0.250
0.327 0.673 0.022
0.327 0.673 0.478
0.673 0.327 0.522
0.673 0.327 0.978
0.852 0.148 0.750
```

Computed properties:
The calculation puts the raw total energy at -4.50 eV/atom. Its calculated volume is 384.7 Å³/cell.

(2)
First-principles (PBE) data for an optimized crystal structure of NbBF3, as listed in Alexandria via LeMat-Bulk.

The structure in POSCAR format:
```
NbBF3
1.0
3.956 0.000 0.000
0.000 3.956 0.000
0.000 0.000 3.956
Nb B F
1 1 3
direct
0.000 0.000 0.000
0.500 0.500 0.500
0.000 0.500 0.500
0.500 0.000 0.500
0.500 0.500 0.000
```

Computed properties:
The uncorrected formation energy is -0.199 eV/atom. The calculation puts the raw total energy at -4.67 eV/atom. The energy relative to the lowest polymorph listed for this composition comes out at 685 meV/atom. Its calculated volume is 61.9 Å³/cell.